Record 1
NaInHg6Pb2: relaxed, PBE.

a b c (Å): 7.5686 9.1132 10.3811
angles (deg): 90.00 127.05 90.00
Fractional positions:
Na 0.0000 0.0000 0.0000
Na 0.0000 0.5000 0.5000
In 0.5000 0.0000 0.5000
In 0.5000 0.5000 0.0000
Hg 0.0286 0.1422 0.2913
Hg 0.0286 0.3578 0.7913
Hg 0.2911 0.7331 0.0787
Hg 0.2911 0.7669 0.5787
Hg 0.4379 0.1381 0.0604
Hg 0.4379 0.3619 0.5604
Hg 0.5621 0.6381 0.4396
Hg 0.5621 0.8619 0.9396
Hg 0.7089 0.2331 0.4213
Hg 0.7089 0.2669 0.9213
Hg 0.9714 0.6422 0.2087
Hg 0.9714 0.8578 0.7087
Pb 0.2234 0.1194 0.6748
Pb 0.2234 0.3806 0.1748
Pb 0.7766 0.6194 0.8252
Pb 0.7766 0.8806 0.3252

Values from the calculation:
* crystal system: monoclinic
* E_tot: -1.336 eV per atom
* total moment: 0.00 μB per formula unit
* DFT formation energy: -8 meV per atom

=====

Record 2
NaIn2HgPb2: relaxed, PBE.

a b c (Å): 5.1794 9.8917 6.6562
angles (deg): 90.00 90.00 90.00
Fractional positions:
Na 0.0000 0.0002 0.0000
Na 0.0000 0.9998 0.5000
In 0.0000 0.3188 0.2508
In 0.0000 0.6812 0.7508
In 0.5000 0.1497 0.7492
In 0.5000 0.8503 0.2492
Hg 0.5000 0.1544 0.2496
Hg 0.5000 0.8456 0.7496
Pb 0.0000 0.3311 0.7507
Pb 0.0000 0.6689 0.2507
Pb 0.5000 0.5001 0.0006
Pb 0.5000 0.4999 0.5006

Values from the calculation:
* crystal system: orthorhombic
* E_tot: -2.469 eV per atom
* total moment: 0.00 μB per formula unit
* DFT formation energy: -50 meV per atom